LiPrGe, relaxed, DFT GGA-PBE; space-group type = P2_1/m; volume = 22.87 Å³/atom; E_form = -0.6588 eV per atom; M_tot = 0.000 μB/atom; N(E_F) = 0.147 states/eV/atom
1.0
7.384 0.000 0.000
0.000 4.426 0.000
-0.087 0.000 12.596
Li Pr Ge
6 6 6
Cartesian
-0.023 1.106 5.177 Li
1.014 3.319 12.080 Li
2.526 1.106 3.759 Li
4.771 3.319 8.837 Li
6.283 1.106 0.517 Li
7.320 3.319 7.419 Li
0.115 3.319 2.492 Pr
2.442 1.106 7.303 Pr
3.496 1.106 10.974 Pr
3.801 3.319 1.622 Pr
4.855 3.319 5.293 Pr
7.182 1.106 10.104 Pr
1.710 1.106 0.893 Ge
1.745 3.319 5.116 Ge
1.911 3.319 9.430 Ge
5.386 1.106 3.166 Ge
5.552 1.106 7.480 Ge
5.587 3.319 11.703 Ge